Computed, not measured: a relaxed structure of Zn2NiPb at the PBE level of DFT.

Calculated values
Crystal system: cubic
Space-group type: F-43m, No. 216

Lattice parameters (Å, degrees): 6.513 6.513 6.513 90.00 90.00 90.00
Positions (direct):
Zn: 0.000 0.000 0.000
Zn: 0.000 0.500 0.500
Zn: 0.250 0.250 0.250
Zn: 0.250 0.750 0.750
Zn: 0.500 0.000 0.500
Zn: 0.500 0.500 0.000
Zn: 0.750 0.250 0.750
Zn: 0.750 0.750 0.250
Ni: 0.000 0.000 0.500
Ni: 0.000 0.500 0.000
Ni: 0.500 0.000 0.000
Ni: 0.500 0.500 0.500
Pb: 0.250 0.250 0.750
Pb: 0.250 0.750 0.250
Pb: 0.750 0.250 0.250
Pb: 0.750 0.750 0.750

Computed, not measured: a relaxed structure of Cd2CuTe2F2 at the PBE level of DFT.

Calculated values
Crystal system: tetragonal
Space-group type: P-4m2, No. 115

Lattice parameters (Å, degrees): 3.848 3.848 9.349 90.00 90.00 90.00
Positions (direct):
Cd: 0.000 0.500 0.148
Cd: 0.500 0.000 0.852
Cu: 0.000 0.000 0.500
Te: 0.000 0.500 0.681
Te: 0.500 0.000 0.319
F: 0.000 0.000 0.000
F: 0.500 0.500 0.000

Computed, not measured: a relaxed structure of NaTe4PbAu3 at the PBE level of DFT.

Calculated values
Crystal system: cubic
Space-group type: P-43m, No. 215

Lattice parameters (Å, degrees): 6.719 6.719 6.719 90.00 90.00 90.00
Positions (direct):
Na: 0.000 0.000 0.000
Te: 0.247 0.247 0.247
Te: 0.247 0.753 0.753
Te: 0.753 0.247 0.753
Te: 0.753 0.753 0.247
Pb: 0.500 0.500 0.500
Au: 0.000 0.500 0.500
Au: 0.500 0.000 0.500
Au: 0.500 0.500 0.000

Computed, not measured: a relaxed structure of PrYTc at the PBE level of DFT.

Calculated values
Crystal system: cubic
DFT formation energy (eV per atom): 0.967
Space-group type: F-43m, No. 216

Lattice parameters (Å, degrees): 6.846 6.846 6.846 90.00 90.00 90.00
Positions (direct):
Pr: 0.000 0.000 0.000
Pr: 0.000 0.500 0.500
Pr: 0.500 0.000 0.500
Pr: 0.500 0.500 0.000
Y: 0.250 0.250 0.250
Y: 0.250 0.750 0.750
Y: 0.750 0.250 0.750
Y: 0.750 0.750 0.250
Tc: 0.000 0.000 0.500
Tc: 0.000 0.500 0.000
Tc: 0.500 0.000 0.000
Tc: 0.500 0.500 0.500

Computed, not measured: a relaxed structure of ErBeNO at the PBE level of DFT.

Calculated values
Crystal system: orthorhombic
Space-group type: Pmc2_1, No. 26
E above lowest polymorph (kJ/mol of formula units): 45

Lattice parameters (Å, degrees): 3.177 5.115 5.299 90.00 90.00 90.00
Positions (direct):
Er: 0.000 0.214 0.000
Er: 0.000 0.786 0.500
Be: 0.500 0.204 0.531
Be: 0.500 0.796 0.031
N: 0.500 0.034 0.261
N: 0.500 0.966 0.761
O: 0.000 0.362 0.574
O: 0.000 0.638 0.074

Computed, not measured: a relaxed structure of ErSiPt at the PBE level of DFT.

Calculated values
Crystal system: hexagonal
Space-group type: P-62m, No. 189

Lattice parameters (Å, degrees): 7.773 7.773 3.222 90.00 90.00 120.00
Positions (direct):
Er: 0.000 0.292 0.000
Er: 0.292 0.000 0.000
Er: 0.708 0.708 0.000
Si: 0.000 0.000 0.500
Si: 0.333 0.667 0.000
Si: 0.667 0.333 0.000
Pt: 0.000 0.642 0.500
Pt: 0.358 0.358 0.500
Pt: 0.642 0.000 0.500

Computed, not measured: a relaxed structure of Y4Lu2As3N3 at the PBE level of DFT.

Calculated values
Crystal system: monoclinic
Space-group type: C2/c, No. 15

Lattice parameters (Å, degrees): 6.364 6.364 13.378 103.75 103.75 60.03
Positions (direct):
Y: 0.035 0.202 0.104
Y: 0.132 0.299 0.396
Y: 0.202 0.035 0.604
Y: 0.299 0.132 0.896
Y: 0.701 0.868 0.104
Y: 0.798 0.965 0.396
Y: 0.868 0.701 0.604
Y: 0.965 0.798 0.896
Lu: 0.367 0.533 0.099
Lu: 0.467 0.633 0.401
Lu: 0.533 0.367 0.599
Lu: 0.633 0.467 0.901
As: 0.092 0.908 0.250
As: 0.259 0.416 0.750
As: 0.416 0.259 0.250
As: 0.584 0.741 0.750
As: 0.741 0.584 0.250
As: 0.908 0.092 0.750
N: 0.000 0.500 0.000
N: 0.181 0.660 0.500
N: 0.340 0.819 0.000
N: 0.500 0.000 0.500
N: 0.660 0.181 0.000
N: 0.819 0.340 0.500

Computed, not measured: a relaxed structure of IrAu2Se5 at the PBE level of DFT.

Calculated values
Crystal system: tetragonal
Space-group type: P4/mmm, No. 123

Lattice parameters (Å, degrees): 4.648 4.648 8.612 90.00 90.00 90.00
Positions (direct):
Ir: 0.000 0.000 0.000
Au: 0.500 0.500 0.346
Au: 0.500 0.500 0.654
Se: 0.000 0.500 0.184
Se: 0.000 0.500 0.816
Se: 0.500 0.000 0.184
Se: 0.500 0.000 0.816
Se: 0.500 0.500 0.000

Computed, not measured: a relaxed structure of GdAsBrO2 at the PBE level of DFT.

Calculated values
Crystal system: monoclinic
Space-group type: P2_1/m, No. 11

Lattice parameters (Å, degrees): 7.239 3.792 8.011 90.00 115.55 90.00
Positions (direct):
Gd: 0.154 0.250 0.404
Gd: 0.846 0.750 0.596
As: 0.444 0.750 0.788
As: 0.556 0.250 0.212
Br: 0.092 0.250 0.871
Br: 0.908 0.750 0.129
O: 0.184 0.750 0.572
O: 0.405 0.250 0.333
O: 0.595 0.750 0.667
O: 0.816 0.250 0.428

Computed, not measured: a relaxed structure of Cu3Ag at the PBE level of DFT.

Calculated values
Crystal system: orthorhombic
DFT formation energy (eV per atom): 0.073
Space-group type: Pmmn, No. 59

Lattice parameters (Å, degrees): 2.717 3.582 11.013 90.00 90.00 90.00
Positions (direct):
Cu: 0.250 0.250 0.055
Cu: 0.250 0.250 0.330
Cu: 0.250 0.250 0.557
Cu: 0.750 0.750 0.443
Cu: 0.750 0.750 0.670
Cu: 0.750 0.750 0.945
Ag: 0.250 0.250 0.806
Ag: 0.750 0.750 0.194

Computed, not measured: a relaxed structure of InMo3C at the PBE level of DFT.

Calculated values
Crystal system: cubic
Space-group type: Pm-3m, No. 221

Lattice parameters (Å, degrees): 4.222 4.222 4.222 90.00 90.00 90.00
Positions (direct):
In: 0.000 0.000 0.000
Mo: 0.000 0.500 0.500
Mo: 0.500 0.000 0.500
Mo: 0.500 0.500 0.000
C: 0.500 0.500 0.500

Computed, not measured: a relaxed structure of CoReHgGe at the PBE level of DFT.

Calculated values
Crystal system: cubic
Space-group type: F-43m, No. 216
E above lowest polymorph (kJ/mol of formula units): 122

Lattice parameters (Å, degrees): 6.396 6.396 6.396 90.00 90.00 90.00
Positions (direct):
Co: 0.000 0.000 0.000
Co: 0.000 0.500 0.500
Co: 0.500 0.000 0.500
Co: 0.500 0.500 0.000
Re: 0.250 0.250 0.250
Re: 0.250 0.750 0.750
Re: 0.750 0.250 0.750
Re: 0.750 0.750 0.250
Hg: 0.000 0.000 0.500
Hg: 0.000 0.500 0.000
Hg: 0.500 0.000 0.000
Hg: 0.500 0.500 0.500
Ge: 0.250 0.250 0.750
Ge: 0.250 0.750 0.250
Ge: 0.750 0.250 0.250
Ge: 0.750 0.750 0.750

Number 1: VASP energy -2.689 eV/atom. Number 2: VASP energy -3.148 eV/atom. Number 3: VASP energy -3.069 eV/atom. Number 4: VASP energy -6.233 eV/atom. Number 5: VASP energy -7.464 eV/atom. Number 6: VASP energy -5.925 eV/atom. Number 7: VASP energy -7.548 eV/atom. Number 8: VASP energy -3.558 eV/atom. Number 9: VASP energy -6.086 eV/atom. Number 10: VASP energy -3.421 eV/atom. Number 11: VASP energy -8.715 eV/atom. Number 12: VASP energy -5.106 eV/atom.